# 1
This record from Alexandria via LeMat-Bulk describes a relaxed structure of AgTe2Ir. The functional is GGA-PBEsol.

Cell and atoms, written as POSCAR:
```
AgTe2Ir
1.0
3.9853 0.0000 0.0000
1.9926 3.4514 0.0000
1.9926 1.1505 7.8568
Ag Te Ir
1 2 1
direct
0.0000 0.0000 0.0000
0.1116 0.1116 0.6653
0.8884 0.8884 0.3347
0.5000 0.5000 0.5000
```

Properties
* energy relative to the lowest polymorph listed for this composition: 0 meV per atom
* size of the total moment: 0.00 μB/f.u.
* space group: R-3m (166)

---

# 2
This record from Alexandria via LeMat-Bulk describes a relaxed structure of AgTe4Ir. The functional is GGA-PBEsol.

Cell and atoms, written as POSCAR:
```
AgTe4Ir
1.0
-3.1489 -0.7624 -5.0437
-3.4785 -4.8374 -0.6595
-5.9673 0.5661 0.0775
Te Ag Ir
4 1 1
direct
0.8765 0.3745 0.3745
0.3745 0.3745 0.8765
0.3745 0.8765 0.3745
0.3745 0.3745 0.3745
0.7500 0.7500 0.7500
0.0000 0.0000 0.0000
```

Properties
* size of the total moment: 0.50 μB/f.u.
* DFT total energy: -3.329 eV per atom
* space group: F-43m (216)

---

# 3
This record from Alexandria via LeMat-Bulk describes a relaxed structure of AgTeIr2. The functional is GGA-PBEsol.

Cell and atoms, written as POSCAR:
```
AgTeIr2
1.0
-0.3403 1.7739 2.2687
3.3596 -2.5443 2.4724
1.8871 3.2152 -4.0738
Ir Ag Te
2 1 1
direct
0.0000 0.5000 0.5000
0.5000 0.0000 0.5000
0.5000 0.5000 0.0000
0.0000 0.0000 0.0000
```

Properties
* size of the total moment: 0.00 μB/f.u.
* DFT total energy: -6.018 eV per atom
* space group: C2/m (12)

---

# 4
This record from Alexandria via LeMat-Bulk describes a relaxed structure of AgTeIr2. The functional is GGA-PBEsol.

Cell and atoms, written as POSCAR:
```
AgTeIr2
1.0
3.0970 0.0000 0.0000
0.0000 4.6646 0.0217
0.0000 -0.9624 4.5643
Ir Te Ag
2 1 1
direct
0.0000 0.5000 0.0000
0.0000 0.0000 0.5000
0.5000 0.0000 0.0000
0.5000 0.5000 0.5000
```

Properties
* size of the total moment: 0.00 μB/f.u.
* DFT total energy: -6.064 eV per atom
* space group: Cmmm (65)